This record from Alexandria via LeMat-Bulk describes a relaxed structure of SnSb2HI. The functional is GGA-PBEsol.

abc: 4.4816 4.4816 5.9964
angles: 90.00 90.00 90.00
Sites, in units of the cell vectors:
1 I 0.0000 0.0000 0.5000
2 H 0.0000 0.0000 0.0000
3 Sn 0.5000 0.5000 0.5000
4 Sb 0.5000 0.0000 0.0000
5 Sb 0.0000 0.5000 0.0000

## Properties
Uncorrected energy = -3.365 eV/atom